[1]
The following is a DFT calculation (PBE) of LaNbZn3 after structural relaxation.

Computed properties:
Size of the total moment   0.00 μB/atom
V   122.8 Å³/cell

a b c (Å): 4.9705 4.9705 4.9705
angles (deg): 90.00 90.00 90.00
Space group Pm-3m (No. 221)
Inequivalent atoms, fractional coordinates:
La: 0.0000 0.0000 0.0000
Nb: 0.5000 0.5000 0.5000
Zn: 0.0000 0.5000 0.5000

[2]
The following is a DFT calculation (PBE) of LaNb3Zn after structural relaxation.

Computed properties:
Size of the total moment   0.00 μB/atom
V   118.1 Å³/cell

a b c (Å): 4.9068 4.9068 4.9068
angles (deg): 90.00 90.00 90.00
Space group Pm-3m (No. 221)
Inequivalent atoms, fractional coordinates:
La: 0.0000 0.0000 0.0000
Nb: 0.0000 0.5000 0.5000
Zn: 0.5000 0.5000 0.5000

[3]
The following is a DFT calculation (PBE) of La3NbZn after structural relaxation.

Computed properties:
Size of the total moment   0.00 μB/atom
V   174.9 Å³/cell

a b c (Å): 5.5929 5.5929 5.5929
angles (deg): 90.00 90.00 90.00
Space group Pm-3m (No. 221)
Inequivalent atoms, fractional coordinates:
La: 0.0000 0.0000 0.5000
Nb: 0.0000 0.0000 0.0000
Zn: 0.5000 0.5000 0.5000

[4]
The following is a DFT calculation (PBE) of LaNb2Zn2 after structural relaxation.

Computed properties:
Size of the total moment   0.00 μB/atom
V   199.0 Å³/cell

a b c (Å): 8.1855 8.1855 2.9696
angles (deg): 90.00 90.00 90.00
Space group P4/mbm (No. 127)
Inequivalent atoms, fractional coordinates:
La: 0.0000 0.0000 0.0000
Nb: 0.1139 0.3861 0.0000
Zn: 0.1777 0.6777 0.5000

[5]
The following is a DFT calculation (PBE) of LaNb3Zn after structural relaxation.

Computed properties:
Size of the total moment   0.00 μB/atom
V   116.6 Å³/cell

a b c (Å): 4.8851 4.8851 4.8851
angles (deg): 90.00 90.00 90.00
Space group Pm-3m (No. 221)
Inequivalent atoms, fractional coordinates:
La: 0.0000 0.0000 0.0000
Nb: 0.0000 0.0000 0.5000
Zn: 0.5000 0.5000 0.5000

[6]
The following is a DFT calculation (PBE) of LaNb2Zn2 after structural relaxation.

Computed properties:
Size of the total moment   0.16 μB/atom
V   218.5 Å³/cell

a b c (Å): 4.3927 4.3927 11.3218
angles (deg): 90.00 90.00 90.00
Space group I4/mmm (No. 139)
Inequivalent atoms, fractional coordinates:
La: 0.0000 0.0000 0.0000
Nb: 0.0000 0.0000 0.3892
Zn: 0.0000 0.5000 0.2500

[7]
The following is a DFT calculation (PBE) of LaNb2Zn after structural relaxation.

Computed properties:
Size of the total moment   0.00 μB/atom
V   361.2 Å³/cell

a b c (Å): 8.1128 8.1128 5.4872
angles (deg): 90.00 90.00 90.00
Space group I-42d (No. 122)
Inequivalent atoms, fractional coordinates:
La: 0.0000 0.0000 0.0000
Nb: 0.2010 0.2500 0.6250
Zn: 0.0000 0.0000 0.5000

[8]
The following is a DFT calculation (PBE) of La2NbZn2 after structural relaxation.

Computed properties:
Size of the total moment   0.00 μB/atom
V   139.2 Å³/cell

a b c (Å): 5.2010 5.2010 5.1465
angles (deg): 90.00 90.00 90.00
Space group P4/mmm (No. 123)
Inequivalent atoms, fractional coordinates:
La: 0.0000 0.0000 0.0000
La: 0.5000 0.5000 0.0000
Nb: 0.0000 0.0000 0.5000
Zn: 0.0000 0.5000 0.5000

Calculated formation energy from the elements (eV per atom), listed in the same order as above: 0.325 1.010 0.394 0.087 1.775 0.295 0.633 0.363